1.
VASP calculation (GGA-PBE) on a geometry-optimized Nd6IrPt2Br3 structure.

Properties
SG	C2/m (12)
total energy	-5.749	eV per atom
formation energy from raw total energies	-1.201	eV per atom
DOS at the Fermi energy	8.685	states/eV per cell

abc: 4.2140 9.1585 10.0877
angles: 109.46 102.06 90.00
With the nearest neighbours (Å) after each atom.
Positions (direct):
Nd (0.6515, 0.1084, 0.3031)  1 Ir 2.81, 2 Pt 2.90
Nd (0.3226, 0.4449, 0.6452)  3 Pt 2.88
Nd (0.3485, 0.8916, 0.6969)  1 Ir 2.81, 2 Pt 2.90
Nd (0.9894, 0.7840, 0.9788)  2 Ir 2.85, 1 Pt 2.91
Nd (0.0106, 0.2160, 0.0212)  2 Ir 2.85, 1 Pt 2.91
Nd (0.6774, 0.5551, 0.3548)  3 Pt 2.88
Br (0.1668, 0.8314, 0.3335)  6 Nd 3.35-3.44
Br (0.5000, 0.5000, 0.0000)  6 Nd 3.36-3.41
Br (0.8332, 0.1686, 0.6665)  6 Nd 3.35-3.44
Pt (0.1673, 0.3347, 0.3346)  6 Nd 2.88-2.91
Pt (0.8327, 0.6653, 0.6654)  6 Nd 2.88-2.91
Ir (0.5000, 0.0000, 0.0000)  6 Nd 2.81-2.85

2.
VASP calculation (GGA-PBE) on a geometry-optimized NdPuIrBr structure.

Properties
SG	R3m (160)
total energy	-8.286	eV per atom
formation energy from raw total energies	-0.877	eV per atom
DOS at the Fermi energy	10.066	states/eV per cell

abc: 4.0559 4.0560 8.2325
angles: 90.00 104.27 119.99
With the nearest neighbours (Å) after each atom.
Positions (direct):
Nd (0.5017, 0.1489, 0.6659)  3 Ir 2.88
Ir (0.3094, 0.5527, 0.8775)  3 Pu 2.74, 3 Nd 2.88
Br (0.9702, 0.3831, 0.3680)  3 Nd 3.32, 3 Pu 3.38-3.39
Pu (0.0966, 0.9462, 0.0583)  3 Ir 2.74

3.
VASP calculation (GGA-PBE) on a geometry-optimized Nd6Ir2RhBr3 structure.

Properties
SG	C2/m (12)
total energy	-5.982	eV per atom
formation energy from raw total energies	-1.090	eV per atom
DOS at the Fermi energy	3.470	states/eV per cell

abc: 7.1933 7.1933 8.1730
angles: 98.43 98.43 120.01
With the nearest neighbours (Å) after each atom.
Positions (direct):
Nd (0.2692, 0.2692, 0.8050)  2 Ir 2.84, 1 Rh 2.85
Nd (0.3991, 0.0649, 0.1950)  2 Ir 2.84, 1 Rh 2.85
Nd (0.9351, 0.6009, 0.8050)  2 Ir 2.84, 1 Rh 2.85
Nd (0.6009, 0.9351, 0.8050)  2 Ir 2.84, 1 Rh 2.85
Nd (0.7308, 0.7308, 0.1950)  2 Ir 2.84, 1 Rh 2.85
Nd (0.0649, 0.3991, 0.1950)  2 Ir 2.84, 1 Rh 2.85
Ir (0.3334, 0.6666, 0.0000)  6 Nd 2.84
Ir (0.6666, 0.3334, 0.0000)  6 Nd 2.84
Br (0.1670, 0.8330, 0.5000)  6 Nd 3.37-3.39
Br (0.8330, 0.1670, 0.5000)  6 Nd 3.37-3.39
Br (0.5000, 0.5000, 0.5000)  6 Nd 3.38
Rh (0.0000, 0.0000, 0.0000)  6 Nd 2.85

What is the formation energy from raw total energies in the second record?
-0.877 eV per atom